Record 1
The following is a DFT calculation (PBE) of Nd2SmY2Tm2 after structural relaxation.

SG: C2/m
energy of formation from the pure elements: 0.145 eV per atom

Cell and atoms, written as POSCAR:
```
Nd2SmY2Tm2
1.0
5.795 -1.751 0.000
5.795 1.751 0.000
-2.327 0.000 11.597
Nd Sm Y Tm
2 1 2 2
Direct
0.154 0.154 0.074
0.846 0.846 0.926
0.500 0.500 0.500
0.205 0.205 0.370
0.795 0.795 0.630
0.093 0.093 0.771
0.907 0.907 0.229
```



Record 2
The following is a DFT calculation (PBE) of RePt3I after structural relaxation.

energy relative to the elements, uncorrected: 9.75 eV per formula unit
SG: Pm-3m

Cell and atoms, written as POSCAR:
```
RePt3I
1.0
4.922 0.000 0.000
0.000 4.922 0.000
0.000 0.000 4.922
Re Pt I
1 3 1
Direct
0.000 0.000 0.000
0.000 0.500 0.500
0.500 0.000 0.500
0.500 0.500 0.000
0.500 0.500 0.500
```



Record 3
The following is a DFT calculation (PBE) of BeHgRh2 after structural relaxation.

SG: I-42d
energy of formation from the pure elements: 0.446 eV per atom

Cell and atoms, written as POSCAR:
```
BeHgRh2
1.0
-1.967 1.967 8.604
1.967 -1.967 8.604
1.967 1.967 -8.604
Be Hg Rh
2 2 4
Direct
0.000 0.000 0.000
0.750 0.250 0.500
0.250 0.750 0.500
0.500 0.500 0.000
0.063 0.625 0.938
0.375 0.313 0.438
0.687 0.125 0.062
0.875 0.937 0.562
```



Record 4
The following is a DFT calculation (PBE) of Rb2CuBr4 after structural relaxation.

energy relative to the elements, uncorrected: -7.74 eV per formula unit
SG: I4/mmm

Cell and atoms, written as POSCAR:
```
Rb2CuBr4
1.0
-2.641 2.641 8.444
2.641 -2.641 8.444
2.641 2.641 -8.444
Rb Cu Br
2 1 4
Direct
0.139 0.139 0.000
0.861 0.861 0.000
0.500 0.500 0.000
0.000 0.500 0.500
0.348 0.348 0.000
0.500 0.000 0.500
0.652 0.652 0.000
```



For reference, density of states at the Fermi level by record: 1.75; 0.47; 0.88; 0.40 states/eV per atom.
For reference, theoretical density by record: 6.7; 12.5; 10.4; 3.9 g/cm³.